[1]
# ScSiPd3

A relaxed ScSiPd3 crystal (GGA-PBE, Alexandria).

CIF file:
```
data_ScSiPd3
_chemical_formula_sum 'Sc1 Si1 Pd3'
_space_group_name_H-M_alt 'P m -3 m'
_space_group_IT_number 221
_space_group_name_Hall '-P 4 2 3'
_cell_length_a 4.756
_cell_length_b 4.756
_cell_length_c 4.756
_cell_angle_alpha 90.00
_cell_angle_beta 90.00
_cell_angle_gamma 90.00
loop_
_atom_site_label
_atom_site_type_symbol
_atom_site_fract_x
_atom_site_fract_y
_atom_site_fract_z
Sc1 Sc 0.000 0.000 0.000
Si1 Si 0.500 0.500 0.500
Pd1 Pd 0.000 0.000 0.500
```

Results
VASP energy in eV for the cell shown: -24.35
Offset from the most stable computed form in kJ/mol of atoms: 97.69
Formation energy without anion corrections in meV per atom: 596.4

=====

[2]
# CaReOsF2

A relaxed CaReOsF2 crystal (GGA-PBE, Alexandria).

CIF file:
```
data_CaReOsF2
_chemical_formula_sum 'Ca1 Re1 Os1 F2'
_space_group_name_H-M_alt 'P 4/m m m'
_space_group_IT_number 123
_space_group_name_Hall '-P 4 2'
_cell_length_a 4.078
_cell_length_b 4.078
_cell_length_c 6.475
_cell_angle_alpha 90.00
_cell_angle_beta 90.00
_cell_angle_gamma 90.00
loop_
_atom_site_label
_atom_site_type_symbol
_atom_site_fract_x
_atom_site_fract_y
_atom_site_fract_z
Ca1 Ca 0.000 0.000 0.000
Re1 Re 0.000 0.000 0.500
Os1 Os 0.500 0.500 0.000
F1 F 0.000 0.500 0.500
```

Results
VASP energy in eV for the cell shown: -26.91
Formation energy without anion corrections in meV per atom: 501.6

=====

[3]
# Li3Mn

A relaxed Li3Mn crystal (GGA-PBE, Alexandria).

CIF file:
```
data_Li3Mn
_chemical_formula_sum 'Li3 Mn1'
_space_group_name_H-M_alt 'P m -3 m'
_space_group_IT_number 221
_space_group_name_Hall '-P 4 2 3'
_cell_length_a 4.106
_cell_length_b 4.106
_cell_length_c 4.106
_cell_angle_alpha 90.00
_cell_angle_beta 90.00
_cell_angle_gamma 90.00
loop_
_atom_site_label
_atom_site_type_symbol
_atom_site_fract_x
_atom_site_fract_y
_atom_site_fract_z
Li1 Li 0.000 0.000 0.500
Mn1 Mn 0.500 0.500 0.500
```

Results
VASP energy in eV for the cell shown: -13.60